[1]
VASP calculation (GGA-PBE) on crystalline SrTlSi at its relaxed geometry.

Computed properties:
Space group ... F-43m
VASP energy ... -8.6 eV for the cell shown
Energy above the most stable polymorph in this dataset ... 0.630 eV/atom
Energy relative to the elements, uncorrected ... 0.303 eV per atom

a = 5.1981 Å, b = 5.1981 Å, c = 5.1981 Å
α = 60.00°, β = 60.00°, γ = 60.00°
Atoms (fractional coordinates):
1 Sr 0.0000 0.0000 0.0000
2 Tl 0.2500 0.2500 0.2500
3 Si 0.7500 0.7500 0.7500

[2]
VASP calculation (GGA-PBE) on crystalline CaLaZn3 at its relaxed geometry.

Computed properties:
Space group ... Pm-3m
VASP energy ... -8.9 eV for the cell shown
Energy above the most stable polymorph in this dataset ... 0.679 eV/atom

a = 5.2298 Å, b = 5.2298 Å, c = 5.2298 Å
α = 90.00°, β = 90.00°, γ = 90.00°
Atoms (fractional coordinates):
1 Ca 0.0000 0.0000 0.0000
2 La 0.5000 0.5000 0.5000
3 Zn 0.0000 0.0000 0.5000
4 Zn 0.0000 0.5000 0.0000
5 Zn 0.5000 0.0000 0.0000

[3]
VASP calculation (GGA-PBE) on crystalline CdPS2 at its relaxed geometry.

Computed properties:
Space group ... R-3m
VASP energy ... -14.4 eV for the cell shown
Energy above the most stable polymorph in this dataset ... 0.000 eV/atom
Energy relative to the elements, uncorrected ... 0.046 eV per atom

a = 9.1549 Å, b = 9.1549 Å, c = 9.1549 Å
α = 20.60°, β = 20.60°, γ = 20.60°
Atoms (fractional coordinates):
1 Cd 0.0000 0.0000 0.0000
2 P 0.5000 0.5000 0.5000
3 S 0.1150 0.1150 0.1150
4 S 0.8850 0.8850 0.8850

[4]
VASP calculation (GGA-PBE) on crystalline TbDy2ZrSc4 at its relaxed geometry.

Computed properties:
Space group ... Pmmm
VASP energy ... -47.3 eV for the cell shown

a = 4.7758 Å, b = 4.7903 Å, c = 9.2914 Å
α = 90.00°, β = 90.00°, γ = 90.00°
Atoms (fractional coordinates):
1 Tb 0.0000 0.0000 0.0000
2 Dy 0.0000 0.0000 0.5000
3 Dy 0.5000 0.5000 0.0000
4 Zr 0.5000 0.5000 0.5000
5 Sc 0.0000 0.5000 0.2614
6 Sc 0.0000 0.5000 0.7386
7 Sc 0.5000 0.0000 0.2613
8 Sc 0.5000 0.0000 0.7387

[5]
VASP calculation (GGA-PBE) on crystalline KCdRh4 at its relaxed geometry.

Computed properties:
Space group ... F-43m
VASP energy ... -29.3 eV for the cell shown

a = 5.3468 Å, b = 5.3468 Å, c = 5.3468 Å
α = 60.00°, β = 60.00°, γ = 60.00°
Atoms (fractional coordinates):
1 K 0.0000 0.0000 0.0000
2 Cd 0.2500 0.2500 0.2500
3 Rh 0.1263 0.6246 0.6246
4 Rh 0.6246 0.1263 0.6246
5 Rh 0.6246 0.6246 0.1263
6 Rh 0.6246 0.6246 0.6246

[6]
VASP calculation (GGA-PBE) on crystalline ReAgSb2 at its relaxed geometry.

Computed properties:
Space group ... Cmmm
VASP energy ... -21.1 eV for the cell shown
Energy above the most stable polymorph in this dataset ... 0.301 eV/atom
Energy relative to the elements, uncorrected ... 0.622 eV per atom

a = 3.0939 Å, b = 3.0939 Å, c = 10.3518 Å
α = 90.00°, β = 90.00°, γ = 117.41°
Atoms (fractional coordinates):
1 Re 0.0000 0.0000 0.0000
2 Ag 0.0000 0.0000 0.5000
3 Sb 0.5000 0.5000 0.2153
4 Sb 0.5000 0.5000 0.7847

The evaluated total moment for the records listed, in turn: 0.00, 0.00, 0.00, 0.00, 1.40, 0.00 μB/f.u..